The following is a GGA-PBE calculation of a geometry-optimized Sm2SI2 structure, from Alexandria via LeMat-Bulk.

Properties
Final energy = -24.963 eV per cell
V = 177.09 Å³ per cell

Cell: 4.1697 4.1705 11.9780 Å, 81.12 79.98 60.01°
Closest atoms and distances in Å follow each position.
Fractional positions:
Sm 0.7122 0.1984 0.3772  3 S 2.81
Sm 0.2878 0.8016 0.6228  3 S 2.81
I 0.5552 0.0889 0.8006  3 Sm 3.19
I 0.4448 0.9111 0.1994  3 Sm 3.19
S 0.0000 0.5000 0.5000  6 Sm 2.81

The following is a GGA-PBE calculation of a geometry-optimized SmS8I2 structure, from Alexandria via LeMat-Bulk.

Properties
Final energy = -41.794 eV per cell
V = 431.91 Å³ per cell

Cell: 11.6939 9.3446 9.3447 Å, 38.14 133.53 133.53°
Closest atoms and distances in Å follow each position.
Fractional positions:
S 0.8522 0.2869 0.2869  2 S 2.13
S 0.2123 0.5251 0.5251  2 S 2.24
S 0.0441 0.6261 0.1462  2 S 2.13-2.24
S 0.0441 0.1462 0.6261  2 S 2.13-2.24
S 0.1478 0.7131 0.7131  2 S 2.13
S 0.9559 0.8538 0.3739  2 S 2.13-2.24
S 0.9559 0.3739 0.8538  2 S 2.13-2.24
S 0.7877 0.4749 0.4749  2 S 2.24
Sm 0.0000 0.0000 0.0000  4 S 2.89, 2 I 3.02
I 0.6376 0.8728 0.8728  1 Sm 3.02, 4 S 3.32-3.38
I 0.3624 0.1272 0.1272  1 Sm 3.02, 4 S 3.32-3.38

The following is a GGA-PBE calculation of a geometry-optimized TbSmSI structure, from Alexandria via LeMat-Bulk.

Properties
Final energy = -20.610 eV per cell
V = 105.36 Å³ per cell

Cell: 3.9249 3.9315 8.1930 Å, 89.95 103.87 119.89°
Closest atoms and distances in Å follow each position.
Fractional positions:
Tb 0.5064 0.1505 0.6724  3 S 2.71
Sm 0.1012 0.9495 0.0660  3 S 2.79
I 0.9722 0.3834 0.3704  3 Tb 3.28-3.29, 3 Sm 3.30-3.31
S 0.2982 0.5474 0.8608  3 Tb 2.71, 3 Sm 2.79

The following is a GGA-PBE calculation of a geometry-optimized SmYSI structure, from Alexandria via LeMat-Bulk.

Properties
Final energy = -22.438 eV per cell
V = 105.27 Å³ per cell

Cell: 3.9257 3.9321 8.1849 Å, 89.94 103.89 119.90°
Closest atoms and distances in Å follow each position.
Fractional positions:
Y 0.5069 0.1509 0.6730  3 S 2.70-2.71
S 0.2978 0.5473 0.8602  3 Y 2.70-2.71, 3 Sm 2.79
I 0.9719 0.3832 0.3701  3 Y 3.29-3.30, 3 Sm 3.29-3.30
Sm 0.1013 0.9494 0.0663  3 S 2.79

The following is a GGA-PBE calculation of a geometry-optimized Sn2S2I structure, from Alexandria via LeMat-Bulk.

Properties
Final energy = -19.532 eV per cell
Distance to the lowest polymorph of the same formula = 0 meV per atom
V = 145.69 Å³ per cell

Cell: 4.0087 4.0087 9.4990 Å, 102.18 102.18 90.00°
Closest atoms and distances in Å follow each position.
Fractional positions:
S 0.6815 0.6815 0.3630  5 Sn 2.77-2.85
S 0.3185 0.3185 0.6370  5 Sn 2.77-2.85
I 0.0000 0.0000 0.0000  2 Sn 3.01
Sn 0.8342 0.8342 0.6684  5 S 2.77-2.85, 1 I 3.01
Sn 0.1658 0.1658 0.3316  5 S 2.77-2.85, 1 I 3.01

The following is a GGA-PBE calculation of a geometry-optimized Sn3S3I structure, from Alexandria via LeMat-Bulk.

Properties
Final energy = -56.037 eV per cell
Distance to the lowest polymorph of the same formula = 35 meV per atom
V = 447.51 Å³ per cell

Cell: 8.3028 8.3028 8.8977 Å, 62.19 62.19 60.00°
Closest atoms and distances in Å follow each position.
Fractional positions:
S 0.4029 0.8044 0.6619  4 Sn 2.65-2.87
S 0.8044 0.1307 0.6619  4 Sn 2.65-2.87
S 0.5971 0.1956 0.3381  4 Sn 2.65-2.87
S 0.1956 0.8693 0.3381  4 Sn 2.65-2.87
S 0.8693 0.5971 0.3381  4 Sn 2.65-2.87
S 0.1307 0.4029 0.6619  4 Sn 2.65-2.87
Sn 0.0888 0.7534 0.6910  4 S 2.65-2.87
Sn 0.5333 0.9112 0.3090  4 S 2.65-2.87
Sn 0.2466 0.5333 0.3090  4 S 2.65-2.87
Sn 0.7534 0.4667 0.6910  4 S 2.65-2.87
Sn 0.9112 0.2466 0.3090  4 S 2.65-2.87
Sn 0.4667 0.0888 0.6910  4 S 2.65-2.87
I 0.3324 0.3324 0.0028  6 Sn 3.46-3.62, 3 S 3.80
I 0.6676 0.6676 0.9972  6 Sn 3.46-3.62, 3 S 3.80

The following is a GGA-PBE calculation of a geometry-optimized Sn3SI structure, from Alexandria via LeMat-Bulk.

Properties
Final energy = -12.387 eV per cell
Distance to the lowest polymorph of the same formula = 808 meV per atom
V = 204.27 Å³ per cell

Cell: 5.8893 5.8893 5.8893 Å, 90.00 90.00 90.00°
Closest atoms and distances in Å follow each position.
Fractional positions:
I 0.0000 0.0000 0.0000  6 Sn 2.94
S 0.5000 0.5000 0.5000  12 Sn 4.16
Sn 0.0000 0.5000 0.0000  2 I 2.94
Sn 0.5000 0.0000 0.0000  2 I 2.94
Sn 0.0000 0.0000 0.5000  2 I 2.94

The following is a GGA-PBE calculation of a geometry-optimized Sn2S2I structure, from Alexandria via LeMat-Bulk.

Properties
Final energy = -19.192 eV per cell
Distance to the lowest polymorph of the same formula = 68 meV per atom
V = 134.91 Å³ per cell

Cell: 4.8066 4.8066 6.7564 Å, 69.16 69.16 90.00°
Closest atoms and distances in Å follow each position.
Fractional positions:
Sn 0.6415 0.6415 0.7169  4 S 2.72
Sn 0.3585 0.3585 0.2831  4 S 2.72
S 0.7500 0.2500 0.5000  4 Sn 2.72
S 0.2500 0.7500 0.5000  4 Sn 2.72
I 0.0000 0.0000 0.0000  10 Sn 3.78-4.19, 8 S 3.78

The following is a GGA-PBE calculation of a geometry-optimized Sn2S2I structure, from Alexandria via LeMat-Bulk.

Properties
Final energy = -36.889 eV per cell
Distance to the lowest polymorph of the same formula = 217 meV per atom
V = 255.35 Å³ per cell

Cell: 8.4268 8.4268 3.5958 Å, 90.00 90.00 90.00°
Closest atoms and distances in Å follow each position.
Fractional positions:
Sn 0.1439 0.3561 0.0000  6 S 2.94-3.22, 2 I 3.24
Sn 0.8561 0.6439 0.0000  6 S 2.94-3.22, 2 I 3.24
Sn 0.6439 0.1439 0.0000  6 S 2.94-3.22, 2 I 3.24
Sn 0.3561 0.8561 0.0000  6 S 2.94-3.22, 2 I 3.24
S 0.6321 0.8679 0.5000  6 Sn 2.94-3.22, 1 S 3.15
S 0.3679 0.1321 0.5000  6 Sn 2.94-3.22, 1 S 3.15
S 0.1321 0.6321 0.5000  6 Sn 2.94-3.22, 1 S 3.15
S 0.8679 0.3679 0.5000  6 Sn 2.94-3.22, 1 S 3.15
I 0.5000 0.5000 0.0000  4 Sn 3.24, 2 I 3.60
I 0.0000 0.0000 0.0000  4 Sn 3.24, 2 I 3.60

The following is a GGA-PBE calculation of a geometry-optimized Sn3SI structure, from Alexandria via LeMat-Bulk.

Properties
Final energy = -16.427 eV per cell
Distance to the lowest polymorph of the same formula = 0 meV per atom
V = 168.00 Å³ per cell

Cell: 5.5179 5.5179 5.5179 Å, 90.00 90.00 90.00°
Closest atoms and distances in Å follow each position.
Fractional positions:
I 0.5000 0.5000 0.5000  12 Sn 3.90
S 0.0000 0.0000 0.0000  6 Sn 2.76
Sn 0.0000 0.5000 0.0000  2 S 2.76
Sn 0.5000 0.0000 0.0000  2 S 2.76
Sn 0.0000 0.0000 0.5000  2 S 2.76

The following is a GGA-PBE calculation of a geometry-optimized Sn2S2I structure, from Alexandria via LeMat-Bulk.

Properties
Final energy = -38.423 eV per cell
Distance to the lowest polymorph of the same formula = 64 meV per atom
V = 309.13 Å³ per cell

Cell: 7.3262 7.3262 6.7997 Å, 111.49 111.49 92.58°
Closest atoms and distances in Å follow each position.
Fractional positions:
S 0.2276 0.9367 0.4543  3 Sn 2.58-2.78
S 0.7724 0.0633 0.5457  3 Sn 2.58-2.78
S 0.5633 0.2724 0.0457  3 Sn 2.58-2.78
S 0.4367 0.7276 0.9543  3 Sn 2.58-2.78
Sn 0.4321 0.0679 0.2500  4 S 2.58-2.73
Sn 0.1969 0.3031 0.7500  4 S 2.78-3.04
Sn 0.5679 0.9321 0.7500  4 S 2.58-2.73
Sn 0.8031 0.6969 0.2500  4 S 2.78-3.04
I 0.8615 0.6385 0.7500  3 Sn 3.11-3.46
I 0.1385 0.3615 0.2500  3 Sn 3.11-3.46

The following is a GGA-PBE calculation of a geometry-optimized SnSI structure, from Alexandria via LeMat-Bulk.

Properties
Final energy = -10.536 eV per cell
V = 97.44 Å³ per cell

Cell: 7.0683 3.9899 3.9899 Å, 120.00 90.00 90.00°
Closest atoms and distances in Å follow each position.
Fractional positions:
Sn 0.0378 0.0000 0.0000  3 S 2.67
S 0.2292 0.3333 0.6667  3 Sn 2.67
I 0.7331 0.6667 0.3333  3 Sn 3.15